(1)
# HfNbO3

An optimized crystal structure of HfNbO3 (GGA-PBE, the Alexandria database).

Cell lengths 4.0291, 4.0291, 4.0291 Å; angles 90.00, 90.00, 90.00 degrees
Each line ends with the local moment (μB).
Atoms (fractional coordinates):
O  0.0000  0.5000  0.0000  0.00
O  0.5000  0.0000  0.0000  0.00
O  0.0000  0.0000  0.5000  0.00
Hf  0.5000  0.5000  0.5000  0.90
Nb  0.0000  0.0000  0.0000  0.09

Its formation energy (no corrections) is -1546 meV per atom.


(2)
# La5TbAl6

An optimized crystal structure of La5TbAl6 (GGA-PBE, the Alexandria database).

Cell lengths 5.3382, 7.5039, 9.2382 Å; angles 66.04, 73.33, 90.00 degrees
Atoms (fractional coordinates):
Tb  0.0000  0.0000  0.0000
Al  0.8376  0.0759  0.3228
Al  0.8376  0.6013  0.3228
Al  0.5000  0.2259  0.0000
Al  0.1624  0.3987  0.6772
Al  0.1624  0.9241  0.6772
Al  0.5000  0.7741  0.0000
La  0.3371  0.3377  0.3247
La  0.0000  0.5000  0.0000
La  0.6760  0.1754  0.6492
La  0.3240  0.8246  0.3508
La  0.6629  0.6623  0.6753

The energy comes out at -56.06 eV/cell.


(3)
# Ag2Pd8Pt

An optimized crystal structure of Ag2Pd8Pt (GGA-PBE, the Alexandria database).

Cell lengths 4.2283, 6.7576, 6.7576 Å; angles 105.91, 89.99, 89.99 degrees
Atoms (fractional coordinates):
Ag  0.0000  0.6222  0.3778
Ag  0.0000  0.3778  0.6222
Pd  0.5000  0.3285  0.3285
Pd  0.0000  0.0369  0.3004
Pd  0.0000  0.3004  0.0369
Pd  0.0000  0.9631  0.6996
Pd  0.5000  0.2384  0.7616
Pd  0.5000  0.6715  0.6715
Pd  0.5000  0.7616  0.2384
Pd  0.0000  0.6996  0.9631
Pt  0.5000  0.0000  0.0000

Its excess energy over the best structure of this formula in the dataset is 0 meV per atom.


(4)
# Sm8CoSi3Br4

An optimized crystal structure of Sm8CoSi3Br4 (GGA-PBE, the Alexandria database).

Cell lengths 8.3753, 8.7433, 8.3756 Å; angles 118.63, 120.00, 90.00 degrees
Atoms (fractional coordinates):
Br  0.5000  0.0000  0.5000
Br  0.0000  0.0000  0.5000
Br  0.5000  0.0000  0.0000
Br  0.0000  0.0000  0.0000
Sm  0.2624  0.2873  0.5249
Sm  0.7745  0.2975  0.0230
Sm  0.7742  0.2972  0.5483
Sm  0.2255  0.7025  0.9770
Sm  0.2258  0.7028  0.4517
Sm  0.2486  0.2975  0.0230
Sm  0.7376  0.7127  0.4751
Sm  0.7514  0.7025  0.9770
Co  0.0000  0.5000  0.0000
Si  0.5000  0.5000  0.0000
Si  0.5000  0.5000  0.5000
Si  0.0000  0.5000  0.5000

Its formation energy (no corrections) is -946 meV per atom.


(5)
# ThTiSb

An optimized crystal structure of ThTiSb (GGA-PBE, the Alexandria database).

Cell lengths 3.9209, 4.7955, 4.7955 Å; angles 120.00, 90.00, 90.00 degrees
Each line ends with the local moment (μB).
Atoms (fractional coordinates):
Sb  0.1666  0.0000  0.0000  -0.03
Th  0.6667  0.6667  0.3333  0.45
Ti  0.1668  0.3333  0.6667  1.48

Its formation energy (no corrections) is -300 meV per atom.


(6)
# TiCoSn3

An optimized crystal structure of TiCoSn3 (GGA-PBE, the Alexandria database).

Cell lengths 4.8667, 4.8667, 4.8667 Å; angles 90.00, 90.00, 90.00 degrees
Atoms (fractional coordinates):
Sn  0.0000  0.5000  0.0000
Sn  0.5000  0.0000  0.0000
Sn  0.0000  0.0000  0.5000
Co  0.0000  0.0000  0.0000
Ti  0.5000  0.5000  0.5000

Its excess energy over the best structure of this formula in the dataset is 0 meV per atom.


(7)
# Nd2SmV

An optimized crystal structure of Nd2SmV (GGA-PBE, the Alexandria database).

Cell lengths 3.4547, 3.4547, 11.9275 Å; angles 81.67, 81.67, 60.00 degrees
Each line ends with the local moment (μB).
Atoms (fractional coordinates):
V  0.0000  0.0000  0.0000  2.67
Nd  0.0806  0.0806  0.7583  0.01
Nd  0.9194  0.9194  0.2417  0.01
Sm  0.5000  0.5000  0.5000  0.02

The energy comes out at -20.83 eV/cell.


(8)
# Zn2Ir2F

An optimized crystal structure of Zn2Ir2F (GGA-PBE, the Alexandria database).

Cell lengths 7.4510, 7.4510, 2.7566 Å; angles 90.00, 90.00, 90.00 degrees
Each line ends with the local moment (μB).
Atoms (fractional coordinates):
Ir  0.1216  0.3784  0.0000  0.15
Ir  0.3784  0.8784  0.0000  0.17
Ir  0.6216  0.1216  0.0000  0.17
Ir  0.8784  0.6216  0.0000  0.15
Zn  0.1753  0.6753  0.5000  0.00
Zn  0.8247  0.3247  0.5000  0.00
Zn  0.3247  0.1753  0.5000  0.00
Zn  0.6753  0.8247  0.5000  0.00
F  0.5000  0.5000  0.0000  0.02
F  0.0000  0.0000  0.0000  0.02

Its excess energy over the best structure of this formula in the dataset is 11 meV per atom. Its formation energy (no corrections) is 38 meV per atom.


(9)
# TcSbOs2

An optimized crystal structure of TcSbOs2 (GGA-PBE, the Alexandria database).

Cell lengths 8.8730, 8.8730, 8.8730 Å; angles 18.90, 18.90, 18.90 degrees
Atoms (fractional coordinates):
Sb  0.5001  0.5001  0.5001
Tc  0.7475  0.7475  0.7475
Os  0.9999  0.9999  0.9999
Os  0.2525  0.2525  0.2525

Its formation energy (no corrections) is 502 meV per atom.


(10)
# CdCo2W

An optimized crystal structure of CdCo2W (GGA-PBE, the Alexandria database).

Cell lengths 4.8739, 4.8739, 4.5775 Å; angles 75.68, 75.68, 32.17 degrees
Each line ends with the local moment (μB).
Atoms (fractional coordinates):
Cd  0.2641  0.2641  0.2028  -0.01
W  0.4829  0.4829  0.5577  -0.08
Co  0.7313  0.7313  0.7193  0.50
Co  0.0217  0.0217  0.0202  0.46

The energy comes out at -26.65 eV/cell.


(11)
# NaNdHg

An optimized crystal structure of NaNdHg (GGA-PBE, the Alexandria database).

Cell lengths 3.7492, 5.3260, 8.9016 Å; angles 90.00, 102.16, 90.00 degrees
Each line ends with the local moment (μB).
Atoms (fractional coordinates):
Na  0.7410  0.2500  0.4821  0.00
Na  0.2590  0.7500  0.5179  0.00
Nd  0.4313  0.2500  0.8627  0.08
Nd  0.5687  0.7500  0.1373  0.08
Hg  0.0960  0.2500  0.1920  0.00
Hg  0.9040  0.7500  0.8080  0.00

Its excess energy over the best structure of this formula in the dataset is 0 meV per atom.


(12)
# RbSn4Bi2

An optimized crystal structure of RbSn4Bi2 (GGA-PBE, the Alexandria database).

Cell lengths 4.8225, 10.1338, 10.1338 Å; angles 90.00, 90.00, 90.00 degrees
Atoms (fractional coordinates):
Rb  0.5000  0.0000  0.0000
Rb  0.0000  0.5000  0.5000
Sn  0.5000  0.8510  0.4328
Sn  0.5000  0.1490  0.5672
Sn  0.0000  0.0672  0.3510
Sn  0.0000  0.6490  0.9328
Sn  0.0000  0.9328  0.6490
Sn  0.5000  0.4328  0.8510
Sn  0.0000  0.3510  0.0672
Sn  0.5000  0.5672  0.1490
Bi  0.0000  0.2259  0.7741
Bi  0.0000  0.7741  0.2259
Bi  0.5000  0.7259  0.7259
Bi  0.5000  0.2741  0.2741

Its excess energy over the best structure of this formula in the dataset is 0 meV per atom.